Record 1
Material: SiSb2Os
Method: DFT, PBE-GGA
State: relaxed

POSCAR file:
```
SiSb2Os
1.0
3.8529 -0.1209 0.0218
2.4409 2.9835 0.0218
1.4550 0.6618 7.1006
Si Sb Os
1 2 1
Cartesian
1.9372 0.8811 1.7861
3.8620 1.7566 3.6963
1.4674 0.6674 6.9764
5.8116 2.6433 5.3582
```

Summary:
As for the uncorrected formation energy: 0.564 eV per atom. The value obtained for the density of states at the Fermi level is 2.86 states/eV/cell.

***

Record 2
Material: AlSiSbI2
Method: DFT, PBE-GGA
State: relaxed

POSCAR file:
```
AlSiSbI2
1.0
5.4019 0.0000 0.0000
0.0000 5.4019 0.0000
0.0000 0.0000 5.5305
I Sb Si Al
2 1 1 1
Cartesian
0.0000 2.7009 0.0000
2.7009 0.0000 0.0000
0.0000 0.0000 2.7652
2.7009 2.7009 2.7652
0.0000 0.0000 0.0000
```

Summary:
As for the uncorrected formation energy: 0.637 eV per atom. The value obtained for the density of states at the Fermi level is 4.73 states/eV/cell. The calculation puts the relative energy among the computed polymorphs at 150 meV per atom.

***

Record 3
Material: Mg5Cd6In
Method: DFT, PBE-GGA
State: relaxed

POSCAR file:
```
Mg5Cd6In
1.0
-3.0740 4.5263 -8.3159
-1.0420 -2.5062 -3.5509
-6.9950 -1.7247 0.3530
Mg Cd In
5 6 1
Cartesian
-5.3730 -2.8202 -2.1261
-5.7380 3.1157 -9.3877
-2.0580 1.0101 -5.9334
-6.3779 0.6965 -4.5088
-4.7332 -0.4010 -7.0050
-8.0457 -1.1606 -2.6741
-7.3497 1.1868 -7.4512
-6.3582 -2.2996 -5.1427
-4.7528 2.5951 -6.3711
-3.7613 -0.8913 -4.0626
-3.0653 1.4561 -8.8397
0.0000 0.0000 0.0000
```

Summary:
The value obtained for the density of states at the Fermi level is 2.74 states/eV/cell. Its calculated formation energy is -0.081 eV/atom. The calculation puts the relative energy among the computed polymorphs at 0 meV per atom.

***

Record 4
Material: BeZn2
Method: DFT, PBE-GGA
State: relaxed

POSCAR file:
```
BeZn2
1.0
4.1038 0.0000 0.0000
0.0000 4.1038 0.0000
0.0000 0.0000 2.4981
Be Zn
1 2
Cartesian
0.0000 0.0000 0.0000
2.0519 0.0000 1.2490
0.0000 2.0519 1.2490
```

Summary:
The value obtained for the density of states at the Fermi level is 0.53 states/eV/cell. Its calculated formation energy is 0.109 eV/atom.

***

Record 5
Material: Tc2Ir6Rh
Method: DFT, PBE-GGA
State: relaxed

POSCAR file:
```
Tc2Ir6Rh
1.0
-2.4062 1.0013 0.8025
-4.1583 -3.4207 -3.5668
-2.2446 -5.7952 5.1334
Ir Rh Tc
6 1 2
Cartesian
-5.3828 -4.4744 3.3425
-3.7689 -3.0258 1.7410
-3.4263 -3.7402 -0.9733
-5.1901 -7.0259 2.4705
-5.0402 -5.1889 0.6283
-3.6190 -1.1887 -0.1013
0.0000 0.0000 0.0000
-7.2287 -6.7877 0.6942
-1.5804 -1.4270 1.6750
```

Summary:
The value obtained for the density of states at the Fermi level is 7.18 states/eV/cell. Its calculated formation energy is 0.055 eV/atom. The calculation puts the relative energy among the computed polymorphs at 160 meV per atom.

***

Record 6
Material: Tl2AgBiS4
Method: DFT, PBE-GGA
State: relaxed

POSCAR file:
```
Tl2AgBiS4
1.0
-3.9312 3.2613 -6.3570
2.4537 -6.1743 -4.7285
-4.0246 -1.5395 6.8597
S Tl Ag Bi
8 4 2 2
Cartesian
-4.3601 -0.0210 -2.5616
-1.1420 -4.4315 -1.6640
-2.2967 -1.5417 0.5896
-3.2054 -2.9109 -4.8154
-2.4731 0.9340 -6.0235
-3.0290 -5.3865 1.7977
-5.1289 -3.6479 -1.5439
-0.3732 -0.8046 -2.6818
-1.9656 1.6306 -3.1785
-3.9779 0.8609 0.2514
-0.7387 -1.4565 -5.5427
-2.0123 -0.7698 3.4298
-2.7510 -2.2263 -2.1128
-7.9558 1.7218 0.5027
-4.7166 -0.5956 -5.2914
1.2268 -3.0872 -2.3642
```

Summary:
As for the uncorrected formation energy: -0.201 eV per atom. The value obtained for the density of states at the Fermi level is 7.12 states/eV/cell.

***

Record 7
Material: ErCo12
Method: DFT, PBE-GGA
State: relaxed

POSCAR file:
```
ErCo12
1.0
4.6579 0.0000 0.0000
2.3289 5.8225 0.0000
2.3289 0.0000 5.8225
Co Er
12 1
Cartesian
3.4934 0.0000 2.9113
4.6579 4.5172 1.3053
2.3289 1.3053 1.3053
4.6579 3.7375 3.7375
1.1645 0.0000 2.9113
2.3289 2.0851 3.7375
3.4934 2.9113 0.0000
4.6579 2.0851 2.0851
6.9868 4.5172 4.5172
2.3289 3.7375 2.0851
4.6579 1.3053 4.5172
1.1645 2.9113 0.0000
0.0000 0.0000 0.0000
```

Summary:
The value obtained for the density of states at the Fermi level is 14.75 states/eV/cell. Its calculated formation energy is -0.067 eV/atom.

***

Record 8
Material: ThPaBiSe
Method: DFT, PBE-GGA
State: relaxed

POSCAR file:
```
ThPaBiSe
1.0
5.2998 0.0000 0.0000
2.6499 4.5898 0.0000
2.6499 1.5299 4.3273
Pa Se Bi Th
1 1 1 1
Cartesian
0.0000 0.0000 0.0000
2.6499 1.5299 1.0818
7.9497 4.5898 3.2454
5.2998 3.0598 2.1636
```

Summary:
As for the uncorrected formation energy: -0.684 eV per atom. The value obtained for the density of states at the Fermi level is 3.56 states/eV/cell.

***

Record 9
Material: Pr4CoRh
Method: DFT, PBE-GGA
State: relaxed

POSCAR file:
```
Pr4CoRh
1.0
6.6701 0.3070 -2.3573
-1.2419 5.7452 -2.4232
-0.6142 0.0919 8.7348
Pr Co Rh
8 2 2
Cartesian
-0.5494 1.2488 7.3354
3.1374 5.9718 -0.3787
5.3634 4.8953 -3.3811
1.6766 0.1723 4.3330
4.0928 3.5970 1.8454
3.7960 1.8984 -1.3835
0.7212 2.5471 2.1089
1.0181 4.2457 5.3378
2.7324 5.4544 3.2959
2.0816 0.6897 0.6584
3.3239 2.5353 4.4144
1.4901 3.6088 -0.4601
```

Summary:
The value obtained for the density of states at the Fermi level is 12.55 states/eV/cell. Its calculated formation energy is -0.212 eV/atom.

***

Record 10
Material: Sc8As3PSe4
Method: DFT, PBE-GGA
State: relaxed

POSCAR file:
```
Sc8As3PSe4
1.0
7.7057 0.0000 0.0000
0.0000 7.7570 0.0304
-3.8529 -3.8488 5.4520
Sc Se As P
8 4 3 1
Cartesian
1.8862 2.0451 0.0539
5.8195 2.0451 0.0539
0.0000 3.8277 2.6454
3.8529 0.0805 2.8369
-1.9666 1.8630 5.4285
0.0000 0.0841 2.7824
1.9666 1.8630 5.4285
3.8529 3.8241 2.7000
0.0000 0.0000 0.0000
3.8529 0.0000 0.0000
-1.9264 -1.9244 2.7260
1.9264 -1.9244 2.7260
3.8529 3.8785 0.0152
1.9264 1.9541 2.7412
-1.9264 1.9541 2.7412
0.0000 3.8785 0.0152
```

Summary:
As for the uncorrected formation energy: -1.564 eV per atom. The value obtained for the density of states at the Fermi level is 7.11 states/eV/cell.

***

Record 11
Material: La2PuHg3
Method: DFT, PBE-GGA
State: relaxed

POSCAR file:
```
La2PuHg3
1.0
-2.0467 -0.4239 -3.2734
3.2884 -0.5945 -1.9791
-0.8408 -11.2513 1.9826
Hg Pu La
3 1 2
Cartesian
-0.2871 -3.8416 0.6770
0.0000 0.0000 0.0000
-0.5537 -7.4097 1.3057
0.2004 -6.1348 -1.6350
-0.0758 -9.8313 -0.9836
0.4767 -2.4384 -2.2863
```

Summary:
The value obtained for the density of states at the Fermi level is 12.50 states/eV/cell. Its calculated formation energy is -0.364 eV/atom.

***

Record 12
Material: NaIn2GeRh2
Method: DFT, PBE-GGA
State: relaxed

POSCAR file:
```
NaIn2GeRh2
1.0
-3.5824 -1.4059 -2.6693
2.2807 -3.9746 -0.9676
-2.5582 -2.6426 4.8252
Rh In Ge Na
2 2 1 1
Cartesian
1.1404 -1.9873 -0.4838
-1.7912 -0.7029 -1.3346
-2.5281 -4.6295 1.7225
-1.3317 -3.3936 -0.5342
0.0000 0.0000 0.0000
-1.2791 -1.3213 2.4126
```

Summary:
The value obtained for the density of states at the Fermi level is 5.83 states/eV/cell. Its calculated formation energy is -0.204 eV/atom.

***

Record 13
Material: Hg2PtW
Method: DFT, PBE-GGA
State: relaxed

POSCAR file:
```
Hg2PtW
1.0
-1.4553 -4.4380 0.5387
-4.3565 -1.2173 -1.2819
-0.6649 -2.7298 -3.7696
Pt Hg W
1 2 1
Cartesian
-3.2384 -4.1926 -2.2564
-4.8575 -6.2889 -3.3846
-1.6192 -2.0963 -1.1282
0.0000 0.0000 0.0000
```

Summary:
The value obtained for the density of states at the Fermi level is 3.04 states/eV/cell. Its calculated formation energy is 0.789 eV/atom. The calculation puts the relative energy among the computed polymorphs at 583 meV per atom.

***

Record 14
Material: CsBaTmI6
Method: DFT, PBE-GGA
State: relaxed

POSCAR file:
```
CsBaTmI6
1.0
-1.5841 8.2883 1.4382
-6.1298 -5.0332 -3.2198
-4.9828 -3.5655 15.0598
I Cs Ba Tm
12 2 2 2
Cartesian
-8.3269 -6.0007 10.9118
-9.6307 -4.2084 7.0585
-8.1366 -0.5020 8.4303
-3.0660 3.8981 6.2197
-5.4629 1.8148 1.0872
-5.6499 -3.9179 8.4444
-4.3698 5.6904 2.3664
-7.0468 3.6076 4.8339
-7.2338 -2.1251 12.1911
-1.5645 2.5362 2.5478
-4.5601 0.1917 4.8479
-11.1322 -2.8465 10.7304
-2.4914 -1.7827 7.5299
0.0000 0.0000 0.0000
-5.8603 -1.4840 2.0978
-6.8364 1.1737 11.1804
-8.3517 -3.2668 9.6278
-4.3450 2.9565 3.6505
```

Summary:
As for the uncorrected formation energy: -1.556 eV per atom. The value obtained for the density of states at the Fermi level is 0.00 states/eV/cell.

***

Record 15
Material: NdHPd
Method: DFT, PBE-GGA
State: relaxed

POSCAR file:
```
NdHPd
1.0
4.5754 0.0000 0.0000
2.2877 3.9624 0.0000
2.2877 1.3208 3.7358
Pd Nd H
1 1 1
Cartesian
0.0000 0.0000 0.0000
2.2877 1.3208 0.9339
4.5754 2.6416 1.8679
```

Summary:
The value obtained for the density of states at the Fermi level is 0.46 states/eV/cell. The calculation puts the relative energy among the computed polymorphs at 600 meV per atom.

***

Record 16
Material: AcLa3N
Method: DFT, PBE-GGA
State: relaxed

POSCAR file:
```
AcLa3N
1.0
-0.9687 -1.7403 -4.9029
5.1699 -0.8807 -0.7089
-0.5828 -4.9195 1.8614
N La Ac
1 3 1
Cartesian
0.0000 0.0000 0.0000
-0.2914 -2.4598 0.9307
-0.4844 -0.8702 -2.4515
2.5850 -0.4403 -0.3544
1.8092 -3.7703 -1.8752
```

Summary:
As for the uncorrected formation energy: -0.450 eV per atom. The value obtained for the density of states at the Fermi level is 6.64 states/eV/cell.

***

Record 17
Material: Ba4AcIn5
Method: DFT, PBE-GGA
State: relaxed

POSCAR file:
```
Ba4AcIn5
1.0
-1.4647 3.0027 2.6022
-2.4055 -2.8775 1.9663
15.9404 -4.0228 13.6143
Ba In Ac
4 5 1
Cartesian
9.5758 -2.4166 8.1784
6.3647 -1.6062 5.4359
12.8222 -3.2359 10.9511
3.1182 -0.7869 2.6632
6.0351 -1.9488 9.0914
9.2387 -2.7573 11.8275
12.5854 -3.6019 14.6859
2.8314 -1.1403 6.3552
-0.5153 -0.2957 3.4969
0.0000 0.0000 0.0000
```

Summary:
The value obtained for the density of states at the Fermi level is 8.68 states/eV/cell. Its calculated formation energy is -0.396 eV/atom.

***

Record 18
Material: ReAg2Br5
Method: DFT, PBE-GGA
State: relaxed

POSCAR file:
```
ReAg2Br5
1.0
-4.1449 -2.7379 -4.3953
-4.0830 -5.8302 1.3488
-6.9376 1.9292 -0.7926
Br Re Ag
5 1 2
Cartesian
-2.9638 -1.8148 -2.6245
-6.4604 -3.2859 -3.2950
-5.2336 -3.7040 0.5559
-6.4074 -0.5148 -0.3240
-9.2235 -3.6981 -1.1032
-0.1859 -0.1225 -0.1958
-7.2203 -0.4025 -3.0315
-5.3438 -5.5042 -1.6234
```

Summary:
As for the uncorrected formation energy: -0.096 eV per atom. The value obtained for the density of states at the Fermi level is 1.40 states/eV/cell.

***

Record 19
Material: SmSn3Au6
Method: DFT, PBE-GGA
State: relaxed

POSCAR file:
```
SmSn3Au6
1.0
5.1285 0.0000 0.0000
-1.7095 7.3433 0.0000
-1.7095 -3.6716 6.3594
Sm Sn Au
1 3 6
Cartesian
3.3081 0.0000 0.0000
0.9367 2.1949 3.8016
4.3557 2.9536 0.0000
4.3557 -1.4768 2.5579
3.3994 1.5578 2.6981
1.6900 4.2278 0.0000
-0.8900 -2.8234 4.8903
1.6900 -2.1139 3.6613
0.8195 0.8482 1.4692
-0.8900 5.6468 0.0000
```

Summary:
The value obtained for the density of states at the Fermi level is 2.94 states/eV/cell. Its calculated formation energy is -0.240 eV/atom.

***

Record 20
Material: TbGaPd
Method: DFT, PBE-GGA
State: relaxed

POSCAR file:
```
TbGaPd
1.0
4.3979 0.0000 -0.8681
-0.5037 7.1654 -2.5521
-0.0237 0.0234 11.4547
Ga Pd Tb
6 6 6
Cartesian
2.2615 5.5073 -0.1173
1.4432 4.0408 7.3115
3.0847 4.2837 4.0535
4.0477 0.7235 8.9325
0.9637 0.3749 4.8822
0.1635 1.6187 0.8282
-0.0369 6.6536 -0.1872
2.3129 2.9403 0.1433
2.7784 6.3753 2.5018
1.7226 1.9014 8.7273
0.9388 2.9940 4.7560
3.5760 5.2496 6.5425
-0.2706 3.8488 -1.3708
1.0201 6.3226 5.1682
1.7163 6.8653 -2.8793
0.4337 4.4105 2.1973
2.8063 1.4938 2.6428
3.4936 1.9697 6.1252
```

Summary:
The value obtained for the density of states at the Fermi level is 12.46 states/eV/cell. Its calculated formation energy is -0.884 eV/atom.

***

Record 21
Material: Cs2CdAgAu
Method: DFT, PBE-GGA
State: relaxed

POSCAR file:
```
Cs2CdAgAu
1.0
6.7976 0.0000 0.0000
0.0000 6.7976 0.0000
0.0000 0.0000 5.4178
Cs Ag Au Cd
2 1 1 1
Cartesian
0.0000 3.3988 0.0000
3.3988 0.0000 0.0000
3.3988 3.3988 2.7089
0.0000 0.0000 0.0000
0.0000 0.0000 2.7089
```

Summary:
The value obtained for the density of states at the Fermi level is 0.63 states/eV/cell. Its calculated formation energy is -0.041 eV/atom. The calculation puts the relative energy among the computed polymorphs at 0 meV per atom.

***

Record 22
Material: Mn2CoMo
Method: DFT, PBE-GGA
State: relaxed

POSCAR file:
```
Mn2CoMo
1.0
4.8927 -0.0022 -0.0015
2.2979 4.3196 0.0015
-3.2510 -2.7322 2.4301
Mn Mo Co
2 1 1
Cartesian
7.1521 4.2943 0.0000
1.3281 1.8772 1.2158
3.6121 2.1688 0.0000
2.6333 -0.2790 1.2143
```

Summary:
The value obtained for the density of states at the Fermi level is 2.68 states/eV/cell. Its calculated formation energy is 0.086 eV/atom.

***

Record 23
Material: PaTl3I6
Method: DFT, PBE-GGA
State: relaxed

POSCAR file:
```
PaTl3I6
1.0
9.0353 0.0000 0.0000
0.0000 8.2686 -0.1396
0.0000 -0.0965 12.3050
I Tl Pa
12 6 2
Cartesian
4.8482 2.8408 8.9550
1.7714 5.3508 6.9019
7.2639 2.8213 5.2635
6.2891 6.9073 11.3462
8.7048 7.0233 2.7327
1.4986 5.5679 11.2844
7.5367 2.6042 0.8810
4.1871 5.3313 3.2104
2.7462 1.2648 0.8192
0.3305 1.1488 9.4327
6.0163 6.6902 6.9638
3.0190 1.4819 5.2017
3.4741 7.8313 9.2200
7.9918 4.4269 9.0281
5.5612 0.3408 2.9454
1.0435 3.7453 3.1373
4.5177 4.1343 -0.0698
0.0000 -0.0482 6.1525
4.5177 4.0861 6.0827
0.0000 0.0000 0.0000
```

Summary:
As for the uncorrected formation energy: -0.702 eV per atom. The value obtained for the density of states at the Fermi level is 13.76 states/eV/cell.